1.
{
  "formula": "Zr2NiOs",
  "functional": "meta-GGA SCAN",
  "state": "PBEsol geometry",
  "ef_ev_per_atom": -0.56,
  "lattice_angstrom": [[-2.100, -1.314, 2.021], [-1.678, -2.540, -3.397], [3.001, -3.293, 0.978]],
  "species": ["Os", "Zr", "Zr", "Ni"],
  "fractional_positions": [[0.500, 0.500, 0.500], [0.000, 0.000, 0.500], [0.000, 0.500, 0.000], [0.500, 0.000, 0.000]]
}

2.
{
  "formula": "ZrNiOs",
  "functional": "meta-GGA SCAN",
  "state": "PBEsol geometry",
  "relative_energy_kcal_per_mol_atoms": 12.87,
  "ef_ev_per_atom": 0.61,
  "lattice_angstrom": [[4.229, 0.000, 0.000], [2.115, 3.663, 0.000], [2.115, 1.221, 3.453]],
  "species": ["Ni", "Os", "Zr"],
  "fractional_positions": [[0.000, 0.000, 0.000], [0.500, 0.500, 0.500], [0.250, 0.250, 0.250]]
}

3.
{
  "formula": "ZrNiOs",
  "functional": "meta-GGA SCAN",
  "state": "PBEsol geometry",
  "relative_energy_kcal_per_mol_atoms": 0.00,
  "ef_ev_per_atom": 0.05,
  "lattice_angstrom": [[2.775, 0.000, 0.000], [0.000, 2.775, 0.000], [-1.387, -1.387, 5.805]],
  "species": ["Os", "Zr", "Ni"],
  "fractional_positions": [[0.649, 0.649, 0.298], [0.338, 0.338, 0.676], [0.013, 0.013, 0.026]]
}

4.
{
  "formula": "NiP4",
  "functional": "meta-GGA SCAN",
  "state": "PBEsol geometry",
  "ef_ev_per_atom": -0.21,
  "lattice_angstrom": [[-4.336, -0.917, 1.575], [-1.334, -1.227, -4.389], [2.067, -5.828, 2.299]],
  "species": ["P", "P", "P", "P", "P", "P", "P", "P", "Ni", "Ni"],
  "fractional_positions": [[0.689, 0.787, 0.750], [0.189, 0.213, 0.750], [0.659, 0.372, 0.075], [0.811, 0.787, 0.250], [0.841, 0.372, 0.575], [0.159, 0.628, 0.425], [0.341, 0.628, 0.925], [0.311, 0.213, 0.250], [0.500, 0.000, 0.500], [0.000, 0.000, 0.000]]
}

5.
{
  "formula": "Ni3P",
  "functional": "meta-GGA SCAN",
  "state": "PBEsol geometry",
  "ef_ev_per_atom": -0.03,
  "lattice_angstrom": [[2.594, 0.000, 0.000], [1.297, 2.247, 0.000], [1.297, 0.749, 7.361]],
  "species": ["Ni", "Ni", "Ni", "P"],
  "fractional_positions": [[0.257, 0.257, 0.230], [0.743, 0.743, 0.770], [0.500, 0.500, 0.500], [0.000, 0.000, 0.000]]
}

6.
{
  "formula": "Ni12P5",
  "functional": "meta-GGA SCAN",
  "state": "PBEsol geometry",
  "ef_ev_per_atom": -0.47,
  "lattice_angstrom": [[4.999, 0.000, 0.000], [2.500, 6.018, 0.000], [2.500, 0.000, 6.018]],
  "species": ["Ni", "Ni", "Ni", "Ni", "Ni", "Ni", "Ni", "Ni", "Ni", "Ni", "Ni", "Ni", "P", "P", "P", "P", "P"],
  "fractional_positions": [[0.068, 0.298, 0.065], [0.868, 0.065, 0.702], [0.635, 0.303, 0.426], [0.430, 0.702, 0.935], [0.570, 0.298, 0.065], [0.132, 0.935, 0.298], [0.939, 0.426, 0.697], [0.932, 0.702, 0.935], [0.634, 0.935, 0.298], [0.366, 0.065, 0.702], [0.365, 0.697, 0.574], [0.061, 0.574, 0.303], [0.194, 0.219, 0.393], [0.806, 0.781, 0.607], [0.587, 0.607, 0.219], [0.413, 0.393, 0.781], [0.000, 0.000, 0.000]]
}

7.
{
  "formula": "Ni3P",
  "functional": "meta-GGA SCAN",
  "state": "PBEsol geometry",
  "ef_ev_per_atom": -0.42,
  "lattice_angstrom": [[4.316, 0.000, 0.000], [2.158, 6.244, 0.000], [2.158, 0.000, 6.244]],
  "species": ["Ni", "Ni", "Ni", "Ni", "Ni", "Ni", "Ni", "Ni", "Ni", "Ni", "Ni", "Ni", "P", "P", "P", "P"],
  "fractional_positions": [[0.465, 0.948, 0.611], [0.586, 0.389, 0.948], [0.318, 0.811, 0.035], [0.611, 0.398, 0.333], [0.871, 0.965, 0.811], [0.924, 0.611, 0.052], [0.991, 0.667, 0.398], [0.056, 0.333, 0.602], [0.025, 0.052, 0.389], [0.164, 0.189, 0.965], [0.342, 0.602, 0.667], [0.647, 0.035, 0.189], [0.568, 0.237, 0.666], [0.194, 0.334, 0.237], [0.472, 0.763, 0.334], [0.765, 0.666, 0.763]]
}

8.
{
  "formula": "Ni2P3",
  "functional": "meta-GGA SCAN",
  "state": "PBEsol geometry",
  "ef_ev_per_atom": -0.06,
  "lattice_angstrom": [[3.021, 0.000, 0.000], [1.510, 2.616, 0.000], [1.510, 0.872, 7.719]],
  "species": ["Ni", "Ni", "P", "P", "P"],
  "fractional_positions": [[0.402, 0.402, 0.793], [0.598, 0.598, 0.207], [0.799, 0.799, 0.602], [0.000, 0.000, 0.000], [0.201, 0.201, 0.398]]
}

9.
{
  "formula": "Ni8P3",
  "functional": "meta-GGA SCAN",
  "state": "PBEsol geometry",
  "ef_ev_per_atom": -0.45,
  "lattice_angstrom": [[6.495, 0.000, 0.000], [3.248, 5.625, 0.000], [3.248, 1.875, 12.492]],
  "species": ["Ni", "Ni", "Ni", "Ni", "Ni", "Ni", "Ni", "Ni", "Ni", "Ni", "Ni", "Ni", "Ni", "Ni", "Ni", "Ni", "Ni", "Ni", "Ni", "Ni", "Ni", "Ni", "Ni", "Ni", "Ni", "Ni", "Ni", "Ni", "Ni", "Ni", "Ni", "Ni", "P", "P", "P", "P", "P", "P", "P", "P", "P", "P", "P", "P"],
  "fractional_positions": [[0.847, 0.614, 0.160], [0.357, 0.983, 0.950], [0.857, 0.210, 0.450], [0.121, 0.886, 0.340], [0.983, 0.710, 0.950], [0.059, 0.059, 0.824], [0.114, 0.347, 0.660], [0.719, 0.719, 0.844], [0.643, 0.017, 0.050], [0.879, 0.114, 0.660], [0.379, 0.847, 0.160], [0.941, 0.941, 0.176], [0.710, 0.357, 0.950], [0.614, 0.379, 0.160], [0.559, 0.559, 0.324], [0.210, 0.483, 0.450], [0.781, 0.781, 0.656], [0.886, 0.653, 0.340], [0.621, 0.153, 0.840], [0.790, 0.517, 0.550], [0.441, 0.441, 0.676], [0.386, 0.621, 0.840], [0.153, 0.386, 0.840], [0.483, 0.857, 0.450], [0.143, 0.790, 0.550], [0.290, 0.643, 0.050], [0.219, 0.219, 0.344], [0.017, 0.290, 0.050], [0.347, 0.879, 0.660], [0.517, 0.143, 0.550], [0.653, 0.121, 0.340], [0.281, 0.281, 0.156], [0.432, 0.068, 0.750], [0.068, 0.750, 0.750], [0.500, 0.500, 0.500], [0.250, 0.568, 0.250], [0.159, 0.159, 0.524], [0.341, 0.341, 0.976], [0.932, 0.250, 0.250], [0.659, 0.659, 0.024], [0.568, 0.932, 0.250], [0.750, 0.432, 0.750], [0.000, 0.000, 0.000], [0.841, 0.841, 0.476]]
}

10.
{
  "formula": "Ni2PPb",
  "functional": "meta-GGA SCAN",
  "state": "PBEsol geometry",
  "ef_ev_per_atom": 0.14,
  "lattice_angstrom": [[2.953, 0.000, 0.000], [0.000, 2.953, 0.000], [0.000, 0.000, 6.781]],
  "species": ["Ni", "Ni", "Pb", "P"],
  "fractional_positions": [[0.000, 0.000, 0.824], [0.000, 0.000, 0.176], [0.500, 0.500, 0.500], [0.500, 0.500, 0.000]]
}

11.
{
  "formula": "Ni2PPb",
  "functional": "meta-GGA SCAN",
  "state": "PBEsol geometry",
  "ef_ev_per_atom": 0.17,
  "lattice_angstrom": [[-2.085, -2.067, -1.983], [-2.444, -3.051, 2.583], [-4.478, 1.374, 0.112]],
  "species": ["P", "Ni", "Ni", "Pb"],
  "fractional_positions": [[0.500, 0.000, 0.000], [0.819, 0.181, 0.181], [0.181, 0.819, 0.819], [0.000, 0.500, 0.500]]
}

12.
{
  "formula": "NiP2Pb",
  "functional": "meta-GGA SCAN",
  "state": "PBEsol geometry",
  "ef_ev_per_atom": -0.15,
  "lattice_angstrom": [[-1.556, 2.587, 2.059], [-2.549, 0.973, -3.148], [-2.462, -3.392, 2.402]],
  "species": ["Ni", "P", "P", "Pb"],
  "fractional_positions": [[0.500, 0.500, 0.000], [0.000, 0.259, 0.124], [0.000, 0.741, 0.876], [0.500, 0.000, 0.500]]
}

13.
{
  "formula": "NiPPbS2",
  "functional": "meta-GGA SCAN",
  "state": "PBEsol geometry",
  "raw_formation_energy_ev_per_fu": 7.25,
  "lattice_angstrom": [[-0.291, 4.543, -2.289], [-3.771, 1.332, 3.125], [3.385, 1.872, 3.286]],
  "species": ["S", "S", "P", "Ni", "Pb"],
  "fractional_positions": [[0.000, 0.000, 0.500], [0.000, 0.500, 0.000], [0.500, 0.000, 0.000], [0.500, 0.500, 0.500], [0.000, 0.000, 0.000]]
}

14.
{
  "formula": "Y2NiPPb",
  "functional": "meta-GGA SCAN",
  "state": "PBEsol geometry",
  "ef_ev_per_atom": 0.92,
  "lattice_angstrom": [[-3.226, 2.370, 2.806], [-0.335, -4.520, 3.433], [4.259, 2.073, 3.145]],
  "species": ["P", "Y", "Y", "Pb", "Ni"],
  "fractional_positions": [[0.500, 0.000, 0.000], [0.000, 0.000, 0.500], [0.000, 0.500, 0.000], [0.000, 0.000, 0.000], [0.500, 0.500, 0.500]]
}

15.
{
  "formula": "NiP2Pd2",
  "functional": "meta-GGA SCAN",
  "state": "PBEsol geometry",
  "ef_ev_per_atom": -0.41,
  "lattice_angstrom": [[-2.589, -0.329, -3.181], [2.625, -4.802, -1.640], [-3.581, -3.061, 3.231]],
  "species": ["Pd", "Pd", "Pd", "Pd", "P", "P", "P", "P", "Ni", "Ni"],
  "fractional_positions": [[0.500, 0.767, 0.267], [0.500, 0.733, 0.767], [0.500, 0.267, 0.233], [0.500, 0.233, 0.733], [0.000, 0.368, 0.868], [0.000, 0.632, 0.132], [0.000, 0.868, 0.632], [0.000, 0.132, 0.368], [0.000, 0.000, 0.000], [0.000, 0.500, 0.500]]
}

16.
{
  "formula": "Ni2PPd",
  "functional": "meta-GGA SCAN",
  "state": "PBEsol geometry",
  "ef_ev_per_atom": -0.48,
  "lattice_angstrom": [[3.446, 0.000, 0.000], [-1.723, 4.163, 0.000], [0.000, 0.000, 6.489]],
  "species": ["Ni", "Ni", "Ni", "Ni", "P", "P", "Pd", "Pd"],
  "fractional_positions": [[0.147, 0.293, 0.055], [0.853, 0.707, 0.555], [0.147, 0.293, 0.445], [0.853, 0.707, 0.945], [0.731, 0.463, 0.250], [0.269, 0.537, 0.750], [0.445, 0.890, 0.250], [0.555, 0.110, 0.750]]
}

17.
{
  "formula": "Pr6Ni20P13",
  "functional": "meta-GGA SCAN",
  "state": "PBEsol geometry",
  "ef_ev_per_atom": -0.89,
  "lattice_angstrom": [[3.809, 0.000, 0.000], [0.000, 12.659, 0.000], [0.000, -6.329, 10.963]],
  "species": ["Pr", "Pr", "Pr", "Pr", "Pr", "Pr", "Ni", "Ni", "Ni", "Ni", "Ni", "Ni", "Ni", "Ni", "Ni", "Ni", "Ni", "Ni", "Ni", "Ni", "Ni", "Ni", "Ni", "Ni", "Ni", "Ni", "P", "P", "P", "P", "P", "P", "P", "P", "P", "P", "P", "P", "P"],
  "fractional_positions": [[0.500, 0.281, 0.466], [0.500, 0.534, 0.815], [0.500, 0.185, 0.719], [0.000, 0.718, 0.532], [0.000, 0.468, 0.185], [0.000, 0.815, 0.282], [0.500, 0.025, 0.434], [0.500, 0.566, 0.590], [0.500, 0.067, 0.923], [0.000, 0.333, 0.667], [0.000, 0.894, 0.807], [0.500, 0.759, 0.070], [0.000, 0.586, 0.024], [0.000, 0.240, 0.922], [0.500, 0.667, 0.333], [0.000, 0.976, 0.562], [0.000, 0.438, 0.414], [0.000, 0.683, 0.760], [0.500, 0.311, 0.241], [0.000, 0.193, 0.087], [0.000, 0.078, 0.317], [0.500, 0.410, 0.975], [0.000, 0.913, 0.106], [0.500, 0.930, 0.689], [0.500, 0.077, 0.144], [0.500, 0.856, 0.933], [0.000, 0.387, 0.868], [0.500, 0.961, 0.232], [0.000, 0.481, 0.613], [0.000, 0.724, 0.958], [0.000, 0.000, 0.000], [0.500, 0.518, 0.387], [0.500, 0.768, 0.729], [0.000, 0.132, 0.519], [0.500, 0.613, 0.132], [0.000, 0.234, 0.276], [0.500, 0.868, 0.482], [0.500, 0.271, 0.039], [0.000, 0.042, 0.766]]
}

18.
{
  "formula": "Pr9Ni26P12",
  "functional": "meta-GGA SCAN",
  "state": "PBEsol geometry",
  "ef_ev_per_atom": -0.79,
  "lattice_angstrom": [[3.843, 0.000, 0.000], [0.000, 14.231, 0.000], [0.000, -7.116, 12.325]],
  "species": ["Ni", "Ni", "Ni", "Ni", "Ni", "Ni", "Ni", "Ni", "Ni", "Ni", "Ni", "Ni", "Ni", "Ni", "Ni", "Ni", "Ni", "Ni", "Ni", "Ni", "Ni", "Ni", "Ni", "Ni", "Ni", "Ni", "P", "P", "P", "P", "P", "P", "P", "P", "P", "P", "P", "P", "Pr", "Pr", "Pr", "Pr", "Pr", "Pr", "Pr", "Pr", "Pr"],
  "fractional_positions": [[0.000, 0.903, 0.097], [0.500, 0.328, 0.380], [0.500, 0.620, 0.948], [0.000, 0.722, 0.443], [0.500, 0.602, 0.398], [0.500, 0.052, 0.672], [0.000, 0.454, 0.379], [0.000, 0.557, 0.278], [0.500, 0.796, 0.398], [0.500, 0.333, 0.667], [0.000, 0.924, 0.546], [0.500, 0.328, 0.948], [0.000, 0.190, 0.810], [0.000, 0.621, 0.546], [0.000, 0.621, 0.076], [0.500, 0.620, 0.672], [0.000, 0.454, 0.076], [0.000, 0.194, 0.097], [0.000, 0.722, 0.278], [0.500, 0.052, 0.380], [0.000, 0.903, 0.806], [0.000, 0.000, 0.000], [0.000, 0.619, 0.810], [0.000, 0.924, 0.379], [0.500, 0.602, 0.204], [0.000, 0.190, 0.381], [0.500, 0.519, 0.759], [0.000, 0.004, 0.280], [0.500, 0.515, 0.485], [0.500, 0.969, 0.485], [0.500, 0.241, 0.759], [0.000, 0.276, 0.996], [0.000, 0.004, 0.724], [0.000, 0.276, 0.280], [0.000, 0.720, 0.996], [0.000, 0.720, 0.724], [0.500, 0.241, 0.481], [0.500, 0.515, 0.031], [0.000, 0.151, 0.575], [0.500, 0.815, 0.908], [0.500, 0.809, 0.191], [0.000, 0.425, 0.575], [0.500, 0.092, 0.908], [0.500, 0.809, 0.618], [0.000, 0.425, 0.849], [0.500, 0.092, 0.185], [0.500, 0.382, 0.191]]
}

19.
{
  "formula": "Pr2Ni7P4",
  "functional": "meta-GGA SCAN",
  "state": "PBEsol geometry",
  "ef_ev_per_atom": -0.86,
  "lattice_angstrom": [[-1.984, 2.374, 2.070], [3.396, -3.794, 7.603], [7.878, 6.726, -0.163]],
  "species": ["Ni", "Ni", "Ni", "Ni", "Ni", "Ni", "Ni", "Ni", "Ni", "Ni", "Ni", "Ni", "Ni", "Ni", "P", "P", "P", "P", "P", "P", "P", "P", "Pr", "Pr", "Pr", "Pr"],
  "fractional_positions": [[0.000, 0.695, 0.574], [0.000, 0.583, 0.304], [0.500, 0.726, 0.172], [0.000, 0.318, 0.260], [0.500, 0.682, 0.760], [0.000, 0.904, 0.085], [0.500, 0.096, 0.585], [0.500, 0.745, 0.403], [0.500, 0.305, 0.074], [0.000, 0.274, 0.672], [0.500, 0.062, 0.980], [0.000, 0.938, 0.480], [0.000, 0.255, 0.903], [0.500, 0.417, 0.804], [0.500, 0.843, 0.589], [0.500, 0.184, 0.788], [0.000, 0.184, 0.473], [0.000, 0.524, 0.718], [0.000, 0.816, 0.288], [0.500, 0.816, 0.973], [0.500, 0.476, 0.218], [0.000, 0.157, 0.089], [0.500, 0.060, 0.283], [0.500, 0.437, 0.501], [0.000, 0.940, 0.783], [0.000, 0.563, 0.001]]
}